No. 1
# CaTb2Pm6Ho

A relaxed structure of CaTb2Pm6Ho (PBE, the Alexandria database).

Cell: 8.9836 8.9836 9.8754 Å, 94.52 94.52 118.67°
Sites, in units of the cell vectors:
Ca  0.0985  0.9015  0.7500
Ca  0.9015  0.0985  0.2500
Tb  0.2014  0.3016  0.9574
Tb  0.3016  0.2014  0.4574
Tb  0.6984  0.7986  0.5426
Tb  0.7986  0.6984  0.0426
Pm  0.0010  0.2132  0.6238
Pm  0.0718  0.5290  0.1769
Pm  0.2132  0.0010  0.1238
Pm  0.2632  0.6160  0.5519
Pm  0.3840  0.7368  0.9481
Pm  0.4710  0.9282  0.3231
Pm  0.5290  0.0718  0.6769
Pm  0.6160  0.2632  0.0519
Pm  0.7368  0.3840  0.4481
Pm  0.7868  0.9990  0.8762
Pm  0.9282  0.4710  0.8231
Pm  0.9990  0.7868  0.3762
Ho  0.4752  0.5248  0.2500
Ho  0.5248  0.4752  0.7500

## Properties
- Energy relative to the elements: 0.135 eV/atom
- Symmetry: C2/c, No. 15
- Total DFT energy (no corrections): -0.316 Ry/atom

=====

No. 2
# Nd3RhCl

A relaxed structure of Nd3RhCl (PBE, the Alexandria database).

Cell: 3.8503 9.8861 7.6621 Å, 90.00 90.00 90.00°
Sites, in units of the cell vectors:
Nd  0.2500  0.0694  0.1740
Nd  0.2500  0.2500  0.7165
Nd  0.2500  0.4306  0.1740
Nd  0.7500  0.5694  0.8260
Nd  0.7500  0.7500  0.2835
Nd  0.7500  0.9306  0.8260
Rh  0.2500  0.7500  0.0303
Rh  0.7500  0.2500  0.9697
Cl  0.2500  0.7500  0.5933
Cl  0.7500  0.2500  0.4067

## Properties
- Symmetry: Pmmn, No. 59
- Formation energy (no corrections): -0.781 eV/atom
- Total DFT energy (no corrections): -0.403 Ry/atom

=====

No. 3
# Tb2Pr3Pb6

A relaxed structure of Tb2Pr3Pb6 (PBE, the Alexandria database).

Cell: 12.0996 12.0996 12.0996 Å, 151.58 151.58 40.63°
Sites, in units of the cell vectors:
Tb  0.0740  0.0740  0.0000
Tb  0.9260  0.9260  0.0000
Pr  0.3463  0.3463  0.0000
Pr  0.5000  0.5000  0.0000
Pr  0.6537  0.6537  0.0000
Pb  0.0769  0.5769  0.5000
Pb  0.2060  0.2060  0.0000
Pb  0.4231  0.9231  0.5000
Pb  0.5769  0.0769  0.5000
Pb  0.7940  0.7940  0.0000
Pb  0.9231  0.4231  0.5000

## Properties
- Energy relative to the elements: -0.146 eV/atom
- Symmetry: I4/mmm, No. 139
- Total DFT energy (no corrections): -0.317 Ry/atom

=====

No. 4
# Ce2TlIr

A relaxed structure of Ce2TlIr (PBE, the Alexandria database).

Cell: 8.5383 8.5383 8.5383 Å, 27.17 27.17 27.17°
Sites, in units of the cell vectors:
Ce  0.2315  0.2315  0.2315
Ce  0.7685  0.7685  0.7685
Tl  0.0000  0.0000  0.0000
Ir  0.5000  0.5000  0.5000

## Properties
- Relative energy among the computed polymorphs: 0.004 eV per atom
- Energy relative to the elements: -0.475 eV/atom
- Symmetry: R-3m, No. 166
- Total DFT energy (no corrections): -0.459 Ry/atom

=====

No. 5
# ZrTe2Os

A relaxed structure of ZrTe2Os (PBE, the Alexandria database).

Cell: 5.7701 5.5219 4.4185 Å, 69.96 64.03 46.00°
Sites, in units of the cell vectors:
Zr  0.0000  0.0000  0.0000
Te  0.0000  0.5000  0.5000
Te  0.5000  0.0000  0.0000
Os  0.5000  0.5000  0.5000

## Properties
- Relative energy among the computed polymorphs: 0.634 eV per atom
- Symmetry: Fmmm, No. 69
- Formation energy (no corrections): 0.331 eV/atom
- Total DFT energy (no corrections): -0.455 Ry/atom

=====

No. 6
# Cr2PtRh

A relaxed structure of Cr2PtRh (PBE, the Alexandria database).

Cell: 2.6632 4.2444 4.6888 Å, 90.00 90.00 90.00°
Sites, in units of the cell vectors:
Cr  0.0000  0.0000  0.0000
Cr  0.0000  0.5000  0.3177
Pt  0.5000  0.5000  0.8324
Rh  0.5000  0.0000  0.4751

## Properties
- Energy relative to the elements: -0.165 eV/atom
- Symmetry: Pmm2, No. 25
- Total DFT energy (no corrections): -0.612 Ry/atom

=====

No. 7
# LiMnTcRh

A relaxed structure of LiMnTcRh (PBE, the Alexandria database).

Cell: 4.1789 4.1789 4.1789 Å, 60.00 60.00 60.00°
Sites, in units of the cell vectors:
Li  0.0000  0.0000  0.0000
Mn  0.5000  0.5000  0.5000
Tc  0.7500  0.7500  0.7500
Rh  0.2500  0.2500  0.2500

## Properties
- Energy relative to the elements: 0.079 eV/atom
- Symmetry: F-43m, No. 216
- Total DFT energy (no corrections): -0.523 Ry/atom

=====

No. 8
# ScBeBRu2

A relaxed structure of ScBeBRu2 (PBE, the Alexandria database).

Cell: 4.1888 4.1888 3.6491 Å, 90.00 90.00 90.00°
Sites, in units of the cell vectors:
Sc  0.0000  0.0000  0.0000
Be  0.5000  0.5000  0.0000
B  0.5000  0.5000  0.5000
Ru  0.0000  0.5000  0.5000
Ru  0.5000  0.0000  0.5000

## Properties
- Energy relative to the elements: -0.373 eV/atom
- Symmetry: P4/mmm, No. 123
- Total DFT energy (no corrections): -0.546 Ry/atom

=====

No. 9
# CeThSn2

A relaxed structure of CeThSn2 (PBE, the Alexandria database).

Cell: 5.4716 5.4716 5.4716 Å, 60.00 60.00 60.00°
Sites, in units of the cell vectors:
Ce  0.0000  0.0000  0.0000
Th  0.5000  0.5000  0.5000
Sn  0.2500  0.2500  0.2500
Sn  0.7500  0.7500  0.7500

## Properties
- Energy relative to the elements: -0.443 eV/atom
- Symmetry: Fm-3m, No. 225
- Total DFT energy (no corrections): -0.425 Ry/atom

=====

No. 10
# MnSiAs2

A relaxed structure of MnSiAs2 (PBE, the Alexandria database).

Cell: 4.5465 4.5465 4.5057 Å, 110.42 110.42 106.84°
Sites, in units of the cell vectors:
Mn  0.0000  0.0000  0.0000
Si  0.5000  0.5000  0.0000
As  0.0000  0.5000  0.5000
As  0.5000  0.0000  0.5000

## Properties
- Symmetry: C2/m, No. 12
- Formation energy (no corrections): 0.203 eV/atom
- Total DFT energy (no corrections): -0.424 Ry/atom

=====

No. 11
# NdSm3

A relaxed structure of NdSm3 (PBE, the Alexandria database).

Cell: 3.6372 5.1563 7.2813 Å, 90.00 90.00 90.00°
Sites, in units of the cell vectors:
Nd  0.0000  0.0000  0.0000
Sm  0.0000  0.0000  0.5000
Sm  0.5000  0.5000  0.2514
Sm  0.5000  0.5000  0.7486

## Properties
- Relative energy among the computed polymorphs: 0.000 eV per atom
- Energy relative to the elements: 0.014 eV/atom
- Symmetry: Pmmm, No. 47
- Total DFT energy (no corrections): -0.347 Ry/atom

=====

No. 12
# ZrRu2

A relaxed structure of ZrRu2 (PBE, the Alexandria database).

Cell: 5.1913 5.1913 8.5808 Å, 90.00 90.00 120.00°
Sites, in units of the cell vectors:
Zr  0.3333  0.6667  0.0666
Zr  0.3333  0.6667  0.4334
Zr  0.6667  0.3333  0.5666
Zr  0.6667  0.3333  0.9334
Ru  0.0000  0.0000  0.0000
Ru  0.0000  0.0000  0.5000
Ru  0.1718  0.3436  0.7500
Ru  0.1718  0.8282  0.7500
Ru  0.3436  0.1718  0.2500
Ru  0.6564  0.8282  0.7500
Ru  0.8282  0.1718  0.2500
Ru  0.8282  0.6564  0.2500

## Properties
- Energy relative to the elements: -0.370 eV/atom
- Symmetry: P6_3/mmc, No. 194
- Total DFT energy (no corrections): -0.691 Ry/atom